The following is a PBE-GGA calculation of Pm3Ga5O12 after structural relaxation, from the Open Quantum Materials Database.

Summary:
The space group is Ia-3d (230). The electronic total energy comes out at -6.945 eV/atom.

```
Pm3Ga5O12
1.0
10.232 1.563 3.091
-6.052 8.344 3.230
-3.753 -9.103 4.443
O Ga Pm
48 20 12
Direct
0.322 0.905 0.025
0.405 0.822 0.525
0.905 0.025 0.322
0.380 0.583 0.905
0.203 0.120 0.025
0.120 0.595 0.917
0.405 0.083 0.880
0.620 0.417 0.095
0.380 0.297 0.475
0.120 0.025 0.203
0.822 0.525 0.405
0.620 0.703 0.525
0.678 0.095 0.975
0.475 0.380 0.297
0.322 0.917 0.297
0.178 0.475 0.595
0.297 0.322 0.917
0.975 0.797 0.880
0.025 0.203 0.120
0.417 0.822 0.797
0.880 0.975 0.797
0.083 0.703 0.678
0.095 0.975 0.678
0.095 0.620 0.417
0.083 0.880 0.405
0.583 0.178 0.203
0.475 0.595 0.178
0.297 0.475 0.380
0.975 0.678 0.095
0.417 0.095 0.620
0.917 0.297 0.322
0.797 0.417 0.822
0.678 0.083 0.703
0.025 0.322 0.905
0.822 0.797 0.417
0.583 0.905 0.380
0.917 0.120 0.595
0.797 0.880 0.975
0.525 0.620 0.703
0.595 0.917 0.120
0.905 0.380 0.583
0.595 0.178 0.475
0.525 0.405 0.822
0.178 0.203 0.583
0.703 0.525 0.620
0.703 0.678 0.083
0.880 0.405 0.083
0.203 0.583 0.178
0.875 0.250 0.125
0.250 0.125 0.875
0.125 0.875 0.250
0.750 0.375 0.625
0.000 0.500 0.000
0.375 0.250 0.625
0.125 0.750 0.875
0.375 0.625 0.750
0.500 0.000 0.500
0.250 0.625 0.375
0.000 0.500 0.500
0.750 0.875 0.125
0.875 0.125 0.750
0.500 0.500 0.500
0.625 0.750 0.375
0.500 0.500 0.000
0.000 0.000 0.000
0.500 0.000 0.000
0.625 0.375 0.250
0.000 0.000 0.500
0.250 0.375 0.125
0.375 0.125 0.250
0.750 0.625 0.875
0.375 0.750 0.125
0.875 0.750 0.625
0.625 0.250 0.875
0.125 0.250 0.375
0.250 0.875 0.625
0.750 0.125 0.375
0.125 0.375 0.750
0.625 0.875 0.750
0.875 0.625 0.250
```



The following is a PBE-GGA calculation of PmGaO3 after structural relaxation, from the Open Quantum Materials Database.

Summary:
The space group is P4mm (99). The electronic total energy comes out at -7.083 eV/atom.

```
PmGaO3
1.0
3.694 0.000 0.000
0.000 3.694 0.000
0.000 0.000 4.539
O Pm Ga
3 1 1
Direct
0.500 0.000 0.714
0.000 0.500 0.714
0.500 0.500 0.245
0.000 0.000 0.390
0.500 0.500 0.837
```



The following is a PBE-GGA calculation of PmGaO3 after structural relaxation, from the Open Quantum Materials Database.

Summary:
The space group is R-3c (167). The electronic total energy comes out at -7.153 eV/atom.

```
PmGaO3
1.0
0.073 -2.455 -4.809
1.921 -5.036 -0.326
-3.452 -4.051 -0.910
Pm O Ga
2 6 2
Direct
0.750 0.750 0.750
0.250 0.250 0.250
0.250 0.673 0.827
0.750 0.327 0.173
0.827 0.250 0.673
0.327 0.173 0.750
0.673 0.827 0.250
0.173 0.750 0.327
0.500 0.500 0.500
0.000 0.000 0.000
```



The following is a PBE-GGA calculation of PmGaO3 after structural relaxation, from the Open Quantum Materials Database.

Summary:
The space group is Pnma (62). The electronic total energy comes out at -6.998 eV/atom.

```
PmGaO3
1.0
-4.548 3.206 -0.771
0.549 -0.547 -5.518
-4.959 -6.987 0.199
Ga O Pm
4 12 4
Direct
0.528 0.509 0.750
0.972 0.009 0.750
0.028 0.991 0.250
0.472 0.491 0.250
0.140 0.140 0.911
0.860 0.860 0.089
0.360 0.640 0.911
0.360 0.640 0.589
0.656 0.185 0.750
0.860 0.860 0.411
0.640 0.360 0.089
0.140 0.140 0.589
0.156 0.315 0.250
0.640 0.360 0.411
0.844 0.685 0.750
0.344 0.815 0.250
0.500 0.000 0.500
0.000 0.500 0.500
0.500 0.000 0.000
0.000 0.500 0.000
```



The following is a PBE-GGA calculation of PmGaO3 after structural relaxation, from the Open Quantum Materials Database.

Summary:
The space group is R-3 (148). The electronic total energy comes out at -7.030 eV/atom.

```
PmGaO3
1.0
3.150 3.774 -2.318
2.838 -1.205 -4.476
-1.804 2.308 -5.065
O Pm Ga
6 2 2
Direct
0.803 0.027 0.730
0.560 0.197 0.270
0.440 0.803 0.730
0.973 0.560 0.270
0.027 0.440 0.730
0.197 0.973 0.270
0.370 0.370 0.890
0.630 0.630 0.110
0.847 0.847 0.459
0.153 0.153 0.541
```



The following is a PBE-GGA calculation of Pr2Ga2O5 after structural relaxation, from the Open Quantum Materials Database.

Summary:
The space group is P4/mmm (123). The electronic total energy comes out at -6.317 eV/atom.

```
Pr2Ga2O5
1.0
-0.696 -9.259 -1.231
3.932 -0.324 0.213
-0.253 -0.501 3.911
O Pr Ga
5 2 2
Direct
0.868 0.500 0.000
0.132 0.000 0.500
0.500 0.500 0.500
0.868 0.000 0.500
0.132 0.500 0.000
0.246 0.500 0.500
0.754 0.500 0.500
0.000 0.000 0.000
0.500 0.000 0.000
```



The following is a PBE-GGA calculation of GaRe2O4 after structural relaxation, from the Open Quantum Materials Database.

Summary:
The space group is Fd-3m (227). The electronic total energy comes out at -7.559 eV/atom.

```
GaRe2O4
1.0
4.268 -4.270 0.000
-4.268 0.000 -4.270
4.268 4.270 0.000
Re O Ga
4 8 2
Direct
0.375 0.250 0.625
0.875 0.250 0.625
0.375 0.750 0.625
0.375 0.750 0.125
0.124 0.248 0.373
0.626 0.252 0.374
0.124 0.248 0.876
0.627 0.752 0.876
0.124 0.752 0.876
0.626 0.748 0.374
0.626 0.252 0.877
0.123 0.748 0.374
0.750 0.500 0.250
0.000 0.000 0.000
```



The following is a PBE-GGA calculation of SmGaO3 after structural relaxation, from the Open Quantum Materials Database.

Summary:
The space group is R-3 (148). The electronic total energy comes out at -7.041 eV/atom.

```
SmGaO3
1.0
-2.717 4.706 0.000
2.717 4.706 0.000
0.000 3.137 -4.903
O Sm Ga
6 2 2
Direct
0.473 0.698 0.769
0.302 0.940 0.231
0.940 0.527 0.231
0.060 0.473 0.769
0.527 0.302 0.231
0.698 0.060 0.769
0.870 0.870 0.390
0.130 0.130 0.610
0.653 0.653 0.041
0.347 0.347 0.959
```



The following is a PBE-GGA calculation of Sm3GaO6 after structural relaxation, from the Open Quantum Materials Database.

Summary:
The space group is Cmc2_1 (36). The electronic total energy comes out at -7.772 eV/atom.

```
Sm3GaO6
1.0
-0.466 5.474 0.466
0.091 0.623 -7.237
-7.079 -0.727 1.463
Sm O Ga
6 12 2
Direct
0.467 0.087 0.298
0.967 0.298 0.087
0.467 0.702 0.913
0.421 0.604 0.396
0.967 0.913 0.702
0.921 0.396 0.604
0.668 0.784 0.216
0.696 0.674 0.645
0.696 0.355 0.326
0.636 0.040 0.960
0.172 0.895 0.418
0.672 0.418 0.895
0.672 0.105 0.582
0.136 0.960 0.040
0.196 0.326 0.355
0.168 0.216 0.784
0.196 0.645 0.674
0.172 0.582 0.105
0.999 0.807 0.193
0.499 0.193 0.807
```



The following is a PBE-GGA calculation of Sm2Ga2O5 after structural relaxation, from the Open Quantum Materials Database.

Summary:
The space group is P4/mmm (123). As for the energy relative to the lowest polymorph listed for this composition: 0.0 meV/atom. The electronic total energy comes out at -6.766 eV/atom.

```
Sm2Ga2O5
1.0
-4.415 -0.937 -5.273
1.513 -3.549 -0.636
-2.610 -1.554 2.462
O Sm Ga
5 2 2
Direct
0.238 0.000 0.500
0.238 0.500 0.000
0.500 0.500 0.500
0.762 0.000 0.500
0.762 0.500 0.000
0.500 0.000 0.000
0.000 0.000 0.000
0.789 0.500 0.500
0.211 0.500 0.500
```



The following is a PBE-GGA calculation of Sm2Ga2O5 after structural relaxation, from the Open Quantum Materials Database.

Summary:
The space group is P4/mmm (123). As for the energy relative to the lowest polymorph listed for this composition: 346.2 meV/atom. The electronic total energy comes out at -6.420 eV/atom.

```
Sm2Ga2O5
1.0
9.039 0.000 0.000
0.000 3.934 0.000
0.000 0.000 3.934
O Ga Sm
5 2 2
Direct
0.863 0.000 0.500
0.500 0.500 0.500
0.137 0.000 0.500
0.137 0.500 0.000
0.863 0.500 0.000
0.000 0.000 0.000
0.500 0.000 0.000
0.245 0.500 0.500
0.755 0.500 0.500
```



The following is a PBE-GGA calculation of ZnGaSnO4 after structural relaxation, from the Open Quantum Materials Database.

Summary:
The space group is P4_122 (91). As for the energy relative to the lowest polymorph listed for this composition: 4.3 meV/atom. The electronic total energy comes out at -5.467 eV/atom.

```
ZnGaSnO4
1.0
6.220 0.000 0.000
0.000 6.220 0.000
0.000 0.000 8.718
O Ga Zn Sn
16 4 4 4
Direct
0.528 0.771 0.746
0.768 0.989 0.981
0.528 0.229 0.754
0.989 0.232 0.731
0.232 0.989 0.019
0.229 0.472 0.504
0.011 0.232 0.269
0.229 0.528 0.996
0.011 0.768 0.231
0.989 0.768 0.769
0.232 0.011 0.481
0.472 0.229 0.246
0.472 0.771 0.254
0.768 0.011 0.519
0.771 0.528 0.004
0.771 0.472 0.496
0.000 0.235 0.500
0.765 0.000 0.750
0.235 0.000 0.250
0.000 0.765 0.000
0.753 0.753 0.375
0.753 0.247 0.125
0.247 0.247 0.875
0.247 0.753 0.625
0.763 0.500 0.750
0.237 0.500 0.250
0.500 0.763 0.000
0.500 0.237 0.500
```



What did the sixth record say?
The following is a PBE-GGA calculation of Pr2Ga2O5 after structural relaxation, from the Open Quantum Materials Database.

Summary:
The space group is P4/mmm (123). The electronic total energy comes out at -6.317 eV/atom.

```
Pr2Ga2O5
1.0
-0.696 -9.259 -1.231
3.932 -0.324 0.213
-0.253 -0.501 3.911
O Pr Ga
5 2 2
Direct
0.868 0.500 0.000
0.132 0.000 0.500
0.500 0.500 0.500
0.868 0.000 0.500
0.132 0.500 0.000
0.246 0.500 0.500
0.754 0.500 0.500
0.000 0.000 0.000
0.500 0.000 0.000
```



Among the records above, which one has the highest electronic total energy?
ZnGaSnO4



Which formula does entry 2 have?
PmGaO3



What is the electronic total energy in the ninth record?
-7.772 eV/atom